[1]
First-principles (SCAN) data for a PBEsol-optimized structure of YPbCl, as listed in Alexandria via LeMat-Bulk.

a = 3.6550 Å, b = 3.6550 Å, c = 7.4871 Å
α = 90.00°, β = 90.00°, γ = 120.00°
Last column: nearest neighbours and their distance in Å.
Sites, in units of the cell vectors:
Y: 0.0000 0.0000 0.0000  3 Cl 2.72
Pb: 0.6667 0.3333 0.3284  3 Y 3.24
Cl: 0.3333 0.6667 0.7715  3 Y 2.72

Summary:
Total moment = 0.0 μB per formula unit
Space group = No. 156
ΔE_f (raw) = -112.9 kJ per mole of atoms

***

[2]
First-principles (SCAN) data for a PBEsol-optimized structure of YPbCl2, as listed in Alexandria via LeMat-Bulk.

a = 4.1189 Å, b = 4.1189 Å, c = 11.1392 Å
α = 90.00°, β = 90.00°, γ = 90.00°
Last column: nearest neighbours and their distance in Å.
Sites, in units of the cell vectors:
Y: 0.0000 0.0000 0.0000  4 Cl 2.91
Y: 0.5000 0.5000 0.5000  4 Cl 2.91
Pb: 0.0000 0.5000 0.7500  4 Cl 2.91
Pb: 0.5000 0.0000 0.2500  4 Cl 2.91
Cl: 0.0000 0.0000 0.5000  4 Y 2.91
Cl: 0.0000 0.5000 0.2500  4 Pb 2.91
Cl: 0.5000 0.0000 0.7500  4 Pb 2.91
Cl: 0.5000 0.5000 0.0000  4 Y 2.91

Summary:
Total moment = 0.0 μB per formula unit
Space group = No. 119
ΔE_f (raw) = -99.9 kJ per mole of atoms

***

> What is the formula in the first record?

YPbCl

***

> Look up the total moment of the first one.

0.0 μB per formula unit

***

> The highest ΔE_f (raw) belongs to which entry?

YPbCl2

***

> Which value of total moment does entry 1 give?

0.0 μB per formula unit